VASP calculation (PBE) on crystalline TbIrRh2 at its relaxed geometry.

The relative energy among the computed polymorphs is 0.0 meV per atom. For the total energy, the calculation gives -7.589 eV per atom. The formation energy is -0.54 eV/atom.

Unit cell a=9.3193 b=9.3193 c=9.3193 alpha=32.88 beta=32.88 gamma=32.88
Last column: nearest neighbours and their distance in Å.
Element x y z (fractional)
Tb 0.0000 0.0000 0.0000  6 Ir 3.05
Tb 0.1390 0.1390 0.1390  9 Rh 3.04-3.33, 3 Ir 3.13, 3 Tb 3.38
Tb 0.8610 0.8610 0.8610  9 Rh 3.04-3.33, 3 Ir 3.13, 3 Tb 3.38
Ir 0.3328 0.3328 0.3328  6 Rh 2.64-2.66
Ir 0.5000 0.5000 0.5000  6 Rh 2.70
Ir 0.6672 0.6672 0.6672  6 Rh 2.64-2.66
Rh 0.0833 0.5816 0.5816  4 Rh 2.63-2.65, 3 Ir 2.64-2.70
Rh 0.4184 0.4184 0.9167  4 Rh 2.63-2.65, 3 Ir 2.64-2.70
Rh 0.4184 0.9167 0.4184  4 Rh 2.63-2.65, 3 Ir 2.64-2.70
Rh 0.5816 0.0833 0.5816  4 Rh 2.63-2.65, 3 Ir 2.64-2.70
Rh 0.5816 0.5816 0.0833  4 Rh 2.63-2.65, 3 Ir 2.64-2.70
Rh 0.9167 0.4184 0.4184  4 Rh 2.63-2.65, 3 Ir 2.64-2.70